## K3Zn2As2 (PBE)

Data for a relaxed K3Zn2As2 crystal.

Cell lengths 6.418, 9.267, 13.602 Å; angles 90.00, 90.00, 90.00 degrees
Positions (direct):
K (0.107, 0.648, 0.111)
K (0.893, 0.352, 0.611)
K (0.893, 0.148, 0.389)
K (0.107, 0.852, 0.889)
K (0.893, 0.352, 0.889)
K (0.107, 0.648, 0.389)
K (0.107, 0.852, 0.611)
K (0.893, 0.148, 0.111)
K (0.330, 0.287, 0.250)
K (0.670, 0.713, 0.750)
K (0.670, 0.787, 0.250)
K (0.330, 0.213, 0.750)
Zn (0.611, 0.483, 0.084)
Zn (0.389, 0.517, 0.584)
Zn (0.389, 0.983, 0.416)
Zn (0.611, 0.017, 0.916)
Zn (0.389, 0.517, 0.916)
Zn (0.611, 0.483, 0.416)
Zn (0.611, 0.017, 0.584)
Zn (0.389, 0.983, 0.084)
As (0.409, 0.250, 0.000)
As (0.591, 0.750, 0.500)
As (0.591, 0.750, 0.000)
As (0.409, 0.250, 0.500)
As (0.788, 0.444, 0.250)
As (0.212, 0.556, 0.750)
As (0.212, 0.944, 0.250)
As (0.788, 0.056, 0.750)

## Properties
V = 202.2 Å³/f.u.
density of states at the Fermi level = 0.11 states/eV/atom
calculated formation energy = -0.297 eV/atom
total DFT energy (no corrections) = -2.460 eV/atom
space group = Pbcm, No. 57